Here is crystalline CsMoF4 at its relaxed geometry from Alexandria via LeMat-Bulk. Energies are from PBE+U.

Electronic total energy ... -5.28 eV/atom
Crystal system ... monoclinic
Magnetization ... 3.0 μB/f.u.

```
data_CsMoF4
_chemical_formula_sum 'Cs2 Mo2 F8'
_space_group_name_H-M_alt 'P 1 21/c 1'
_space_group_IT_number 14
_cell_length_a 7.033
_cell_length_b 5.812
_cell_length_c 5.680
_cell_angle_alpha 90.00
_cell_angle_beta 91.28
_cell_angle_gamma 90.00
loop_
_space_group_symop_operation_xyz
'x,y,z'
'-x,-y,-z'
'-x,y+1/2,-z+1/2'
'x,-y+1/2,z+1/2'
loop_
_atom_site_label
_atom_site_fract_x
_atom_site_fract_y
_atom_site_fract_z
Cs1 0.000 0.000 0.000
Mo1 0.500 0.000 0.500
F1 0.209 0.049 0.510
F2 0.453 0.686 0.682
```